Entry 1:
DFT (PBE-GGA) results for an optimized crystal structure of TlInGa2.

a = 4.5976 Å, b = 4.5976 Å, c = 6.3098 Å
α = 68.63°, β = 68.63°, γ = 60.00°
With the nearest neighbours (Å) after each atom.
Element x y z (fractional)
Tl 0.4902 0.4902 0.5293  6 Ga 3.01-3.19, 1 In 3.18
Ga 0.2603 0.2603 0.2190  3 In 3.01, 3 Tl 3.19, 1 Ga 3.20
Ga 0.0738 0.0738 0.7787  3 In 2.88, 3 Tl 3.01, 1 Ga 3.20
In 0.6757 0.6757 0.9730  6 Ga 2.88-3.01, 1 Tl 3.18

Summary:
The formation energy comes out at 126 meV per atom. As for the energy above the most stable polymorph in this dataset: 102 meV/atom. Its space-group type is R3m, No. 160. The calculated total energy is -10.7 eV for the cell shown.

Entry 2:
DFT (PBE-GGA) results for an optimized crystal structure of RbPH.

a = 3.4840 Å, b = 8.8365 Å, c = 10.7906 Å
α = 150.90°, β = 90.00°, γ = 101.37°
With the nearest neighbours (Å) after each atom.
Element x y z (fractional)
H 0.9616 0.9233 0.2640  4 Rb 2.78-2.88, 2 P 2.89
H 0.0384 0.0767 0.7360  4 Rb 2.78-2.88, 2 P 2.89
P 0.3053 0.6105 0.5328  2 P 2.19
P 0.6947 0.3895 0.4672  2 P 2.19
Rb 0.7418 0.4836 0.1631  4 H 2.78-2.88
Rb 0.2582 0.5164 0.8369  4 H 2.78-2.88

Summary:
As for the energy above the most stable polymorph in this dataset: 471 meV/atom. Its space-group type is C2/m, No. 12. The calculated total energy is -18.6 eV for the cell shown.

Entry 3:
DFT (PBE-GGA) results for an optimized crystal structure of Er4Hg2PS.

a = 3.8455 Å, b = 6.6171 Å, c = 7.9368 Å
α = 106.29°, β = 90.00°, γ = 90.00°
With the nearest neighbours (Å) after each atom.
Element x y z (fractional)
S 0.0000 0.0000 0.0000  6 Er 2.74-2.75
Er 0.0000 0.7348 0.2109  2 P 2.73, 1 S 2.74
Er 0.5000 0.7603 0.7883  1 P 2.72, 2 S 2.75
Er 0.5000 0.2397 0.2117  1 P 2.72, 2 S 2.75
Er 0.0000 0.2652 0.7891  2 P 2.73, 1 S 2.74
P 0.5000 0.5000 0.0000  6 Er 2.72-2.73
Hg 0.5000 0.0000 0.5000  6 Er 3.13
Hg 0.0000 0.5000 0.5000  6 Er 3.11

Summary:
Its space-group type is P2/m, No. 10. The calculated total energy is -37.3 eV for the cell shown. Its formation energy (no corrections) is -1110 meV/atom.

Entry 4:
DFT (PBE-GGA) results for an optimized crystal structure of Er2Cu3Au.

a = 3.4534 Å, b = 4.3680 Å, c = 7.5261 Å
α = 90.00°, β = 90.00°, γ = 90.00°
With the nearest neighbours (Å) after each atom.
Element x y z (fractional)
Cu 0.5000 0.0000 0.8291  3 Cu 2.43-2.45
Cu 0.5000 0.5000 0.6807  2 Cu 2.45, 1 Au 2.59
Cu 0.5000 0.0000 0.1517  1 Cu 2.43, 2 Au 2.59
Au 0.5000 0.5000 0.3361  3 Cu 2.59
Er 0.0000 0.0000 0.5080  8 Cu 2.97-3.19, 4 Au 3.07
Er 0.0000 0.5000 0.9943  10 Cu 2.92-3.05, 2 Au 3.10

Summary:
The formation energy comes out at -418 meV per atom. As for the energy above the most stable polymorph in this dataset: 0 meV/atom. Its space-group type is Pmm2, No. 25. The calculated total energy is -27.2 eV for the cell shown.

Entry 5:
DFT (PBE-GGA) results for an optimized crystal structure of DyHg2Pd8.

a = 4.9744 Å, b = 7.4805 Å, c = 8.0040 Å
α = 62.14°, β = 72.07°, γ = 48.80°
With the nearest neighbours (Å) after each atom.
Element x y z (fractional)
Pd 0.2324 0.8958 0.7315  7 Pd 2.68-2.97, 2 Hg 2.89-2.94
Pd 0.7676 0.3727 0.7315  7 Pd 2.68-2.97, 2 Hg 2.89-2.94
Pd 0.5000 0.1944 0.6113  1 Dy 2.75, 4 Hg 2.82-3.02, 6 Pd 2.84-2.97
Pd 0.2609 0.4864 0.0000  6 Pd 2.47-2.74
Pd 0.7676 0.1042 0.2685  7 Pd 2.68-2.97, 2 Hg 2.89-2.94
Pd 0.7391 0.5136 0.0000  6 Pd 2.47-2.74
Pd 0.5000 0.8056 0.3887  1 Dy 2.75, 4 Hg 2.82-3.02, 6 Pd 2.84-2.97
Pd 0.2324 0.6273 0.2685  7 Pd 2.68-2.97, 2 Hg 2.89-2.94
Dy 0.5000 0.0000 0.0000  4 Pd 2.75-2.99
Hg 0.0000 0.3150 0.3700  12 Pd 2.82-3.02
Hg 0.0000 0.6850 0.6300  12 Pd 2.82-3.02

Summary:
The formation energy comes out at -274 meV per atom. As for the energy above the most stable polymorph in this dataset: 114 meV/atom. Its space-group type is C2/m, No. 12. The calculated total energy is -49.8 eV for the cell shown.

Entry 6:
DFT (PBE-GGA) results for an optimized crystal structure of Li3InGa2Pd3.

a = 2.8432 Å, b = 7.4305 Å, c = 7.4305 Å
α = 120.00°, β = 90.00°, γ = 90.00°
With the nearest neighbours (Å) after each atom.
Element x y z (fractional)
In 0.0000 0.0000 0.0000  6 Li 2.72, 3 Pd 2.79, 2 In 2.84
Pd 0.0000 0.3759 0.0000  6 Li 2.72-2.95, 4 Ga 2.73, 1 In 2.79, 2 Pd 2.84
Pd 0.0000 0.6241 0.6241  6 Li 2.72-2.95, 4 Ga 2.73, 1 In 2.79, 2 Pd 2.84
Pd 0.0000 0.0000 0.3759  6 Li 2.72-2.95, 4 Ga 2.73, 1 In 2.79, 2 Pd 2.84
Li 0.5000 0.0000 0.6874  2 Ga 2.56, 2 Pd 2.72, 2 In 2.72, 2 Li 2.84
Li 0.5000 0.6874 0.0000  2 Ga 2.56, 2 Pd 2.72, 2 In 2.72, 2 Li 2.84
Li 0.5000 0.3126 0.3126  2 Ga 2.56, 2 Pd 2.72, 2 In 2.72, 2 Li 2.84
Ga 0.5000 0.6667 0.3333  3 Li 2.56, 6 Pd 2.73, 2 Ga 2.84
Ga 0.5000 0.3333 0.6667  3 Li 2.56, 6 Pd 2.73, 2 Ga 2.84

Summary:
The formation energy comes out at -512 meV per atom. Its space-group type is P-62m, No. 189. The calculated total energy is -34.7 eV for the cell shown.

Repeat the fourth record exactly.
DFT (PBE-GGA) results for an optimized crystal structure of Er2Cu3Au.

a = 3.4534 Å, b = 4.3680 Å, c = 7.5261 Å
α = 90.00°, β = 90.00°, γ = 90.00°
With the nearest neighbours (Å) after each atom.
Element x y z (fractional)
Cu 0.5000 0.0000 0.8291  3 Cu 2.43-2.45
Cu 0.5000 0.5000 0.6807  2 Cu 2.45, 1 Au 2.59
Cu 0.5000 0.0000 0.1517  1 Cu 2.43, 2 Au 2.59
Au 0.5000 0.5000 0.3361  3 Cu 2.59
Er 0.0000 0.0000 0.5080  8 Cu 2.97-3.19, 4 Au 3.07
Er 0.0000 0.5000 0.9943  10 Cu 2.92-3.05, 2 Au 3.10

Summary:
The formation energy comes out at -418 meV per atom. As for the energy above the most stable polymorph in this dataset: 0 meV/atom. Its space-group type is Pmm2, No. 25. The calculated total energy is -27.2 eV for the cell shown.

Q: Which value of calculated total energy does entry 4 give?
A: -27.2 eV for the cell shown